The following is a DFT calculation (PBE-GGA) of a relaxed structure of TaNb2AuC.

a = 4.3119 Å, b = 4.3119 Å, c = 4.2870 Å
α = 90.00°, β = 90.00°, γ = 90.00°
Sites, in units of the cell vectors:
Ta 0.0000 0.0000 0.0000
Nb 0.0000 0.5000 0.5000
Nb 0.5000 0.0000 0.5000
Au 0.5000 0.5000 0.0000
C 0.0000 0.0000 0.5000

M_tot: 0.0 μB/f.u.
formation energy from the elements: -0.25 eV/atom
density: 11.994 Mg/m³